Ba2La2MnW2O12 after structural relaxation, computed with PBE with a Hubbard U.

Calculated values
**Volume**: 269.6 Å³/f.u.
**Total energy**: -435.48 eV for the cell shown

a b c (Å): 5.7975 5.7975 27.7868
angles (deg): 90.00 90.00 120.00
Space group R-3m (No. 166, hexagonal axes)
One atom of each set of equivalent atoms:
Ba  0.0000  0.0000  0.1347 [6 per cell]
La  0.0000  0.0000  0.2934 [6 per cell]
Mn  0.0000  0.0000  0.0000 [3 per cell]
W  0.0000  0.0000  0.4186 [6 per cell]
O  0.0003  0.5001  0.1173 [18 per cell]
O  0.0300  0.5150  0.2952 [18 per cell]